(1)
A relaxed Y2TcC crystal, computed with PBE.

It has space group I-42d (No. 122), with a = 7.168 Å, b = 7.168 Å, c = 6.329 Å, α = 90.00°, β = 90.00° and γ = 90.00°. The asymmetric unit holds Y at (0.186, 0.250, 0.125), Tc at (0.000, 0.000, 0.500) and C at (0.000, 0.000, 0.000).

For the calculated formation energy, the calculation gives 0.669 eV per atom. The value obtained for the total energy is -7.460 eV per atom. For the density of states at the Fermi level, the calculation gives 14.29 states/eV/cell.

=====

(2)
A relaxed BeZnCl2 crystal, computed with PBE.

It has space group R-3m (No. 166, hexagonal axes), with a = 3.2311 Å, b = 3.2311 Å, c = 31.6004 Å, α = 90.00°, β = 90.00° and γ = 120.00°. The asymmetric unit holds Be at (0.0000, 0.0000, 0.0000), Zn at (0.0000, 0.0000, 0.5000) and Cl at (0.0000, 0.0000, 0.3733).

The calculation puts the relative energy among the computed polymorphs at 0.030 eV/f.u. The value obtained for the total energy is -2.826 eV per atom. For the density of states at the Fermi level, the calculation gives 0.00 states/eV/cell.

=====

(3)
A relaxed Ca2NbBi crystal, computed with PBE.

It has space group I-42d (No. 122), with a = 8.711 Å, b = 8.711 Å, c = 6.144 Å, α = 90.00°, β = 90.00° and γ = 90.00°. The asymmetric unit holds Ca at (0.248, 0.250, 0.125), Nb at (0.000, 0.000, 0.000) and Bi at (0.000, 0.000, 0.500).

For the calculated formation energy, the calculation gives 0.514 eV per atom. The value obtained for the total energy is -3.975 eV per atom. For the density of states at the Fermi level, the calculation gives 17.09 states/eV/cell.